# LiZr

A relaxed LiZr crystal (GGA-PBE, the Alexandria database).

It has space group I4/m (No. 87), with a = 10.924 Å, b = 10.924 Å, c = 2.730 Å, α = 90.00°, β = 90.00° and γ = 90.00°. The inequivalent atoms are Li at (0.068, 0.637, 0.000) and Zr at (0.133, 0.165, 0.000).

The value obtained for the excess energy over the best structure of this formula in the dataset is 7.921 kcal/mol of atoms. The calculation puts the calculated formation energy at 0.427 eV per atom. The calculated density is 4.0 g/cm³. As for the total DFT energy (no corrections): -4.804 eV/atom.